No. 1
PmAgP2Pt7 | PBE-GGA | relaxed

abc: 4.0363 4.0363 29.3303
angles: 90.00 90.00 90.00
With the nearest neighbours (Å) after each atom.
Space group I-4m2 (No. 119)
Asymmetric unit:
Pm: 0.0000 0.0000 0.0000 x2  12 Pt 2.85-3.03
Ag: 0.0000 0.5000 0.2500 x2  4 Pt 2.63
P: 0.0000 0.0000 0.3805 x4  5 Pt 2.14-2.38
Pt: 0.0000 0.0000 0.3075 x4  1 P 2.14
Pt: 0.0000 0.0000 0.5000 x2  4 Pm 2.85, 8 Pt 3.02-3.03
Pt: 0.0000 0.5000 0.0770 x4  2 P 2.37
Pt: 0.0000 0.5000 0.5767 x4  2 P 2.38

No. 2
CaZn3Se | PBE-GGA | relaxed

## Properties
Relative energy among the computed polymorphs   0.000 eV per atom
E_form (uncorrected)   0.196 eV per atom

abc: 5.0654 5.0654 5.0654
angles: 90.00 90.00 90.00
With the nearest neighbours (Å) after each atom.
Space group Pm-3m (No. 221)
Asymmetric unit:
Ca: 0.0000 0.0000 0.0000 x1  12 Zn 3.58
Zn: 0.0000 0.5000 0.5000 x3  2 Se 2.53
Se: 0.5000 0.5000 0.5000 x1  6 Zn 2.53

No. 3
DyPuSi3 | PBE-GGA | relaxed

## Properties
E_form (uncorrected)   -0.596 eV per atom

abc: 4.1200 24.5508 3.9389
angles: 90.00 90.00 90.00
With the nearest neighbours (Å) after each atom.
Space group Cmcm (No. 63)
Asymmetric unit:
Dy: 0.0000 0.2029 0.2500 x4  7 Si 2.92-2.98
Pu: 0.0000 0.0708 0.7500 x4  12 Si 3.07-3.30
Si: 0.0000 0.3244 0.2500 x4  2 Si 2.42
Si: 0.0000 0.3816 0.7500 x4  3 Si 2.31-2.42
Si: 0.0000 0.4756 0.7500 x4  3 Si 2.31

| no. | magnetic moment (μB per cell) | E_tot (eV/cell) |
| --- | --- | --- |
| 1 | 0.000 | -127.0 |
| 2 | 0.000 | -8.3 |
| 3 | 21.202 | -152.7 |